Entry 1:
This record from Alexandria via LeMat-Bulk describes a relaxed structure of Dy4Y6Tm. The functional is GGA-PBE.

Unit cell a=5.682 b=5.603 c=25.667 alpha=90.00 beta=90.00 gamma=120.46
Fractional positions:
Y: 0.486 0.973 0.250
Y: 0.500 0.000 0.500
Y: 0.850 0.699 0.682
Y: 0.514 0.027 0.750
Y: 0.816 0.632 0.105
Y: 0.184 0.368 0.895
Y: 0.184 0.368 0.605
Y: 0.850 0.699 0.818
Y: 0.150 0.301 0.182
Y: 0.500 0.000 0.000
Y: 0.150 0.301 0.318
Y: 0.816 0.632 0.395
Dy: 0.478 0.957 0.379
Dy: 0.840 0.680 0.957
Dy: 0.478 0.957 0.121
Dy: 0.160 0.320 0.457
Dy: 0.160 0.320 0.043
Dy: 0.522 0.043 0.879
Dy: 0.522 0.043 0.621
Dy: 0.840 0.680 0.543
Tm: 0.180 0.359 0.750
Tm: 0.820 0.641 0.250

Values from the calculation:
ΔE_f = 0.1264 eV per atom
E = -5.4794 eV/atom
Fermi-level density of states = 41.01 states/eV per cell
Energy above the lowest structure with this stoichiometry = 0 meV/atom
Magnetic moment = 0.00 μB per cell


Entry 2:
This record from Alexandria via LeMat-Bulk describes a relaxed structure of DyY5Tm4. The functional is GGA-PBE.

Unit cell a=6.287 b=7.829 c=7.829 alpha=80.72 beta=66.33 gamma=66.33
Fractional positions:
Y: 0.807 0.380 0.910
Y: 0.187 0.910 0.620
Y: 0.097 0.620 0.090
Y: 0.717 0.090 0.380
Y: 0.677 0.000 0.000
Tm: 0.501 0.601 0.299
Tm: 0.800 0.701 0.601
Tm: 0.401 0.399 0.701
Tm: 0.102 0.299 0.399
Dy: 0.221 0.000 0.000

Values from the calculation:
ΔE_f = 0.3146 eV per atom
E = -5.1662 eV/atom
Fermi-level density of states = 14.50 states/eV per cell
Energy above the lowest structure with this stoichiometry = 263 meV/atom
Magnetic moment = 0.00 μB per cell


Entry 3:
This record from Alexandria via LeMat-Bulk describes a relaxed structure of DyY4Tm4. The functional is GGA-PBE.

Unit cell a=4.983 b=7.901 c=7.901 alpha=84.29 beta=71.62 gamma=71.62
Fractional positions:
Y: 0.000 0.669 0.331
Y: 0.331 0.669 0.669
Y: 0.669 0.331 0.331
Y: 0.000 0.331 0.669
Tm: 0.666 0.000 0.668
Tm: 0.666 0.668 0.000
Tm: 0.334 0.332 0.000
Tm: 0.334 0.000 0.332
Dy: 0.000 0.000 0.000

Values from the calculation:
ΔE_f = 0.0279 eV per atom
E = -5.3437 eV/atom
Fermi-level density of states = 12.91 states/eV per cell
Magnetic moment = 0.00 μB per cell


Entry 4:
This record from Alexandria via LeMat-Bulk describes a relaxed structure of Dy5Y4Tm2. The functional is GGA-PBE.

Unit cell a=6.593 b=6.593 c=9.231 alpha=75.54 beta=75.54 gamma=66.83
Fractional positions:
Y: 0.670 0.670 0.878
Y: 0.685 0.685 0.498
Y: 0.330 0.330 0.122
Y: 0.315 0.315 0.502
Dy: 0.655 0.210 0.778
Dy: 0.790 0.345 0.222
Dy: 0.000 0.000 0.500
Dy: 0.210 0.655 0.778
Dy: 0.345 0.790 0.222
Tm: 0.146 0.146 0.882
Tm: 0.854 0.854 0.118

Values from the calculation:
ΔE_f = 0.1259 eV per atom
E = -5.1295 eV/atom
Fermi-level density of states = 19.38 states/eV per cell
Energy above the lowest structure with this stoichiometry = 0 meV/atom
Magnetic moment = 0.00 μB per cell


Entry 5:
This record from Alexandria via LeMat-Bulk describes a relaxed structure of DyY3Tm3. The functional is GGA-PBE.

Unit cell a=6.136 b=6.136 c=14.511 alpha=77.79 beta=77.79 gamma=60.00
Fractional positions:
Dy: 0.667 0.667 0.000
Dy: 0.333 0.333 0.000
Tm: 0.535 0.198 0.401
Tm: 0.802 0.134 0.599
Tm: 0.134 0.465 0.599
Tm: 0.465 0.802 0.599
Tm: 0.198 0.866 0.401
Tm: 0.866 0.535 0.401
Y: 0.599 0.933 0.202
Y: 0.067 0.733 0.798
Y: 0.733 0.401 0.798
Y: 0.401 0.067 0.798
Y: 0.933 0.267 0.202
Y: 0.267 0.599 0.202

Values from the calculation:
ΔE_f = 0.1416 eV per atom
E = -5.2026 eV/atom
Fermi-level density of states = 20.57 states/eV per cell
Energy above the lowest structure with this stoichiometry = 138 meV/atom
Magnetic moment = 0.00 μB per cell


Entry 6:
This record from Alexandria via LeMat-Bulk describes a relaxed structure of DyY4Tm4. The functional is GGA-PBE.

Unit cell a=4.994 b=6.114 c=13.669 alpha=121.39 beta=79.47 gamma=65.90
Fractional positions:
Tm: 0.392 0.440 0.776
Tm: 0.279 0.888 0.555
Tm: 0.721 0.112 0.445
Tm: 0.608 0.560 0.224
Y: 0.945 0.221 0.888
Y: 0.165 0.336 0.334
Y: 0.835 0.664 0.666
Y: 0.055 0.779 0.112
Dy: 0.500 0.000 0.000

Values from the calculation:
ΔE_f = 0.0291 eV per atom
E = -5.3425 eV/atom
Fermi-level density of states = 13.95 states/eV per cell
Magnetic moment = 0.00 μB per cell


Entry 7:
This record from Alexandria via LeMat-Bulk describes a relaxed structure of DyY8Tm4. The functional is GGA-PBE.

Unit cell a=7.243 b=7.243 c=10.057 alpha=90.00 beta=111.11 gamma=120.00
Fractional positions:
Dy: 0.000 0.500 0.500
Y: 0.569 0.785 0.354
Y: 0.431 0.215 0.646
Y: 0.951 0.750 0.702
Y: 0.500 0.250 0.298
Y: 0.049 0.250 0.298
Y: 0.500 0.750 0.702
Y: 0.049 0.799 0.298
Y: 0.951 0.201 0.702
Tm: 0.500 0.500 0.000
Tm: 0.000 0.500 0.000
Tm: 0.000 0.000 0.000
Tm: 0.500 0.000 0.000

Values from the calculation:
ΔE_f = 0.2249 eV per atom
E = -5.4829 eV/atom
Fermi-level density of states = 17.41 states/eV per cell
Magnetic moment = 0.00 μB per cell


Entry 8:
This record from Alexandria via LeMat-Bulk describes a relaxed structure of Dy5Y6Tm2. The functional is GGA-PBE.

Unit cell a=3.563 b=11.610 c=20.244 alpha=90.00 beta=90.00 gamma=90.00
Fractional positions:
Dy: 0.500 0.588 0.272
Dy: 0.500 0.199 0.950
Dy: 0.500 0.699 0.550
Dy: 0.500 0.801 0.050
Dy: 0.500 0.912 0.772
Dy: 0.500 0.500 0.000
Dy: 0.500 0.412 0.728
Dy: 0.500 0.000 0.500
Dy: 0.500 0.088 0.228
Dy: 0.500 0.301 0.450
Y: 0.500 0.673 0.862
Y: 0.000 0.942 0.918
Y: 0.000 0.558 0.418
Y: 0.500 0.173 0.638
Y: 0.000 0.585 0.131
Y: 0.500 0.327 0.138
Y: 0.000 0.915 0.631
Y: 0.000 0.442 0.582
Y: 0.000 0.085 0.369
Y: 0.000 0.058 0.082
Y: 0.500 0.827 0.362
Y: 0.000 0.415 0.869
Tm: 0.000 0.667 0.709
Tm: 0.000 0.167 0.791
Tm: 0.000 0.833 0.209
Tm: 0.000 0.333 0.291

Values from the calculation:
ΔE_f = 0.1031 eV per atom
E = -5.3383 eV/atom
Fermi-level density of states = 33.40 states/eV per cell
Magnetic moment = 0.00 μB per cell


Entry 9:
This record from Alexandria via LeMat-Bulk describes a relaxed structure of Dy2Y2Tm5. The functional is GGA-PBE.

Unit cell a=5.692 b=8.619 c=9.269 alpha=41.11 beta=72.12 gamma=70.72
Fractional positions:
Tm: 0.792 0.345 0.071
Tm: 0.208 0.655 0.929
Tm: 0.319 0.004 0.358
Tm: 0.000 0.000 0.000
Tm: 0.681 0.996 0.642
Y: 0.562 0.666 0.210
Y: 0.438 0.334 0.790
Dy: 0.101 0.309 0.489
Dy: 0.899 0.691 0.511

Values from the calculation:
ΔE_f = 0.1214 eV per atom
E = -4.8220 eV/atom
Fermi-level density of states = 19.48 states/eV per cell
Energy above the lowest structure with this stoichiometry = 0 meV/atom
Magnetic moment = 0.00 μB per cell


Entry 10:
This record from Alexandria via LeMat-Bulk describes a relaxed structure of DyY5Tm12. The functional is GGA-PBE.

Unit cell a=6.108 b=6.108 c=17.209 alpha=86.61 beta=86.61 gamma=120.01
Fractional positions:
Tm: 0.277 0.277 0.167
Tm: 0.557 0.224 0.331
Tm: 0.890 0.890 0.331
Tm: 0.776 0.443 0.669
Tm: 0.612 0.945 0.167
Tm: 0.723 0.723 0.833
Tm: 0.945 0.612 0.167
Tm: 0.110 0.110 0.669
Tm: 0.443 0.776 0.669
Tm: 0.055 0.388 0.833
Tm: 0.224 0.557 0.331
Tm: 0.388 0.055 0.833
Y: 0.167 0.833 0.500
Y: 0.833 0.167 0.500
Y: 0.667 0.333 0.000
Y: 0.500 0.500 0.500
Y: 0.333 0.667 0.000
Dy: 0.000 0.000 0.000

Values from the calculation:
ΔE_f = 0.0154 eV per atom
E = -5.0169 eV/atom
Fermi-level density of states = 25.71 states/eV per cell
Magnetic moment = 0.00 μB per cell


Entry 11:
This record from Alexandria via LeMat-Bulk describes a relaxed structure of Dy5Y2Tm12. The functional is GGA-PBE.

Unit cell a=9.111 b=9.050 c=8.414 alpha=90.87 beta=90.00 gamma=120.22
Fractional positions:
Y: 0.681 0.000 0.000
Y: 0.319 0.000 0.000
Tm: 0.819 0.253 0.659
Tm: 0.974 0.312 0.246
Tm: 0.026 0.688 0.754
Tm: 0.557 0.114 0.333
Tm: 0.443 0.886 0.667
Tm: 0.338 0.312 0.246
Tm: 0.434 0.253 0.659
Tm: 0.566 0.747 0.341
Tm: 0.662 0.688 0.754
Tm: 0.181 0.747 0.341
Tm: 0.907 0.814 0.115
Tm: 0.093 0.186 0.885
Dy: 0.301 0.603 0.992
Dy: 0.699 0.397 0.008
Dy: 0.000 0.000 0.500
Dy: 0.767 0.534 0.425
Dy: 0.233 0.466 0.575

Values from the calculation:
ΔE_f = 0.1327 eV per atom
E = -4.5829 eV/atom
Fermi-level density of states = 28.46 states/eV per cell
Energy above the lowest structure with this stoichiometry = 107 meV/atom
Magnetic moment = 0.00 μB per cell


Entry 12:
This record from Alexandria via LeMat-Bulk describes a relaxed structure of DyY5Tm3. The functional is GGA-PBE.

Unit cell a=6.996 b=9.676 c=9.676 alpha=120.00 beta=90.00 gamma=90.00
Fractional positions:
Tm: 0.250 0.643 0.000
Tm: 0.250 0.357 0.357
Tm: 0.750 0.000 0.357
Tm: 0.250 0.000 0.643
Tm: 0.750 0.643 0.643
Tm: 0.750 0.357 0.000
Dy: 0.000 0.000 0.000
Dy: 0.500 0.000 0.000
Y: 0.500 0.667 0.333
Y: 0.250 0.308 0.000
Y: 0.000 0.667 0.333
Y: 0.500 0.333 0.667
Y: 0.750 0.308 0.308
Y: 0.750 0.692 0.000
Y: 0.000 0.333 0.667
Y: 0.250 0.692 0.692
Y: 0.250 0.000 0.308
Y: 0.750 0.000 0.692

Values from the calculation:
ΔE_f = 0.0611 eV per atom
E = -5.5319 eV/atom
Fermi-level density of states = 26.76 states/eV per cell
Energy above the lowest structure with this stoichiometry = 0 meV/atom
Magnetic moment = 0.00 μB per cell


Entry 13:
This record from Alexandria via LeMat-Bulk describes a relaxed structure of Dy12YTm7. The functional is GGA-PBE.

Unit cell a=9.743 b=9.743 c=9.743 alpha=109.47 beta=109.47 gamma=109.47
Fractional positions:
Dy: 0.254 0.253 0.507
Dy: 0.746 0.747 0.493
Dy: 0.000 0.746 0.253
Dy: 0.000 0.254 0.747
Dy: 0.507 0.254 0.253
Dy: 0.254 0.747 0.000
Dy: 0.253 0.507 0.254
Dy: 0.493 0.746 0.747
Dy: 0.746 0.253 0.000
Dy: 0.747 0.493 0.746
Dy: 0.747 0.000 0.254
Dy: 0.253 0.000 0.746
Tm: 0.500 0.500 0.000
Tm: 0.500 0.000 0.500
Tm: 0.000 0.500 0.000
Tm: 0.500 0.000 0.000
Tm: 0.000 0.000 0.500
Tm: 0.500 0.500 0.500
Tm: 0.000 0.500 0.500
Y: 0.000 0.000 0.000

Values from the calculation:
ΔE_f = 0.7270 eV per atom
E = -3.9225 eV/atom
Fermi-level density of states = 23.86 states/eV per cell
Energy above the lowest structure with this stoichiometry = 420 meV/atom
Magnetic moment = 0.00 μB per cell


Entry 14:
This record from Alexandria via LeMat-Bulk describes a relaxed structure of Dy7Y16Tm6. The functional is GGA-PBE.

Unit cell a=11.120 b=11.120 c=11.120 alpha=60.00 beta=60.00 gamma=60.00
Fractional positions:
Tm: 0.730 0.270 0.730
Tm: 0.270 0.270 0.730
Tm: 0.270 0.730 0.270
Tm: 0.730 0.270 0.270
Tm: 0.730 0.730 0.270
Tm: 0.270 0.730 0.730
Y: 0.369 0.877 0.877
Y: 0.350 0.951 0.350
Y: 0.350 0.350 0.951
Y: 0.650 0.650 0.650
Y: 0.650 0.650 0.049
Y: 0.350 0.350 0.350
Y: 0.650 0.049 0.650
Y: 0.951 0.350 0.350
Y: 0.877 0.877 0.369
Y: 0.877 0.369 0.877
Y: 0.877 0.877 0.877
Y: 0.631 0.123 0.123
Y: 0.123 0.123 0.631
Y: 0.123 0.631 0.123
Y: 0.049 0.650 0.650
Y: 0.123 0.123 0.123
Dy: 0.500 0.000 0.000
Dy: 0.500 0.000 0.500
Dy: 0.000 0.000 0.000
Dy: 0.000 0.500 0.500
Dy: 0.000 0.500 0.000
Dy: 0.500 0.500 0.000
Dy: 0.000 0.000 0.500

Values from the calculation:
ΔE_f = 0.2561 eV per atom
E = -5.3462 eV/atom
Fermi-level density of states = 58.32 states/eV per cell
Magnetic moment = 0.00 μB per cell


Entry 15:
This record from Alexandria via LeMat-Bulk describes a relaxed structure of DyY5Tm2. The functional is GGA-PBE.

Unit cell a=5.006 b=7.096 c=14.192 alpha=90.00 beta=90.00 gamma=90.00
Fractional positions:
Y: 0.500 0.250 0.875
Y: 0.000 0.000 0.000
Y: 0.000 0.500 0.249
Y: 0.000 0.500 0.751
Y: 0.500 0.750 0.625
Y: 0.000 0.000 0.749
Y: 0.500 0.750 0.125
Y: 0.000 0.500 0.500
Y: 0.500 0.250 0.375
Y: 0.000 0.000 0.251
Tm: 0.500 0.251 0.125
Tm: 0.500 0.751 0.375
Tm: 0.500 0.749 0.875
Tm: 0.500 0.249 0.625
Dy: 0.000 0.000 0.500
Dy: 0.000 0.500 0.000

Values from the calculation:
ΔE_f = 0.0245 eV per atom
E = -5.7087 eV/atom
Fermi-level density of states = 21.44 states/eV per cell
Energy above the lowest structure with this stoichiometry = 0 meV/atom
Magnetic moment = 0.00 μB per cell


Entry 16:
This record from Alexandria via LeMat-Bulk describes a relaxed structure of Dy7YTm3. The functional is GGA-PBE.

Unit cell a=5.747 b=8.371 c=8.371 alpha=83.05 beta=110.16 gamma=110.16
Site moments in Bohr magnetons follow the coordinates.
Fractional positions:
Y: 0.500 0.500 0.500  0.12
Tm: 0.000 0.206 0.794  0.01
Tm: 0.500 0.000 0.000  0.00
Tm: 0.000 0.794 0.206  0.01
Dy: 0.699 0.998 0.400  0.01
Dy: 0.208 0.207 0.207  0.01
Dy: 0.301 0.002 0.600  0.01
Dy: 0.699 0.400 0.998  0.01
Dy: 0.792 0.793 0.793  0.01
Dy: 0.000 0.500 0.500  0.15
Dy: 0.301 0.600 0.002  0.01

Values from the calculation:
ΔE_f = 0.2681 eV per atom
E = -4.4676 eV/atom
Fermi-level density of states = 15.90 states/eV per cell
Energy above the lowest structure with this stoichiometry = 129 meV/atom
Magnetic moment = 0.37 μB per cell


Entry 17:
This record from Alexandria via LeMat-Bulk describes a relaxed structure of Dy3YTm. The functional is GGA-PBE.

Unit cell a=7.022 b=8.560 c=6.694 alpha=106.46 beta=121.64 gamma=90.00
Fractional positions:
Y: 0.442 0.768 0.884
Y: 0.558 0.232 0.116
Dy: 0.905 0.620 0.310
Dy: 0.595 0.380 0.690
Dy: 0.095 0.380 0.690
Dy: 0.060 0.240 0.120
Dy: 0.405 0.620 0.310
Dy: 0.940 0.760 0.880
Tm: 0.755 0.000 0.510
Tm: 0.245 0.000 0.490

Values from the calculation:
ΔE_f = 0.1240 eV per atom
E = -4.8244 eV/atom
Fermi-level density of states = 18.35 states/eV per cell
Energy above the lowest structure with this stoichiometry = 119 meV/atom
Magnetic moment = 0.00 μB per cell


Entry 18:
This record from Alexandria via LeMat-Bulk describes a relaxed structure of Dy4Y7Tm. The functional is GGA-PBE.

Unit cell a=5.864 b=11.616 c=6.705 alpha=83.53 beta=64.07 gamma=75.38
Site moments in Bohr magnetons follow the coordinates.
Fractional positions:
Y: 0.633 0.503 0.232  0.00
Y: 0.367 0.497 0.768  0.00
Y: 0.066 0.688 0.180  0.01
Y: 0.789 0.924 0.498  0.02
Y: 0.934 0.312 0.820  0.01
Y: 0.211 0.076 0.502  0.02
Y: 0.500 0.000 0.000  0.14
Dy: 0.231 0.327 0.212  0.01
Dy: 0.357 0.775 0.510  0.01
Dy: 0.643 0.225 0.490  0.01
Dy: 0.769 0.673 0.788  0.01
Tm: 0.000 0.000 0.000  0.18

Values from the calculation:
ΔE_f = 0.3020 eV per atom
E = -5.3754 eV/atom
Fermi-level density of states = 21.78 states/eV per cell
Energy above the lowest structure with this stoichiometry = 157 meV/atom
Magnetic moment = 0.48 μB per cell